[1]
Compound: IrW2Se
Source: Alexandria
Functional: PBE-GGA
Structure: optimized geometry

abc: 2.965 2.965 6.965
angles: 90.00 90.00 90.00
Sites, in units of the cell vectors:
Ir (0.500, 0.500, 0.250)
Se (0.500, 0.500, 0.750)
W (0.000, 0.000, 0.985)
W (0.000, 0.000, 0.515)

Calculated values
- M_tot (μB/f.u.) = 0.00
- polymorph energy (0 for the lowest one) (eV/atom) = 0.000
- formation energy from raw total energies (eV/atom) = 0.16

***

[2]
Compound: Ir3WSe
Source: Alexandria
Functional: PBE-GGA
Structure: optimized geometry

abc: 4.545 4.545 4.545
angles: 90.00 90.00 90.00
Sites, in units of the cell vectors:
Ir (0.000, 0.500, 0.000)
Ir (0.000, 0.000, 0.500)
Ir (0.500, 0.000, 0.000)
Se (0.000, 0.000, 0.000)
W (0.500, 0.500, 0.500)

Calculated values
- M_tot (μB/f.u.) = 2.82
- polymorph energy (0 for the lowest one) (eV/atom) = 0.000
- formation energy from raw total energies (eV/atom) = 1.71

***

[3]
Compound: IrW2Se5
Source: Alexandria
Functional: PBE-GGA
Structure: optimized geometry

abc: 5.337 6.508 7.267
angles: 63.40 65.84 90.00
Sites, in units of the cell vectors:
Ir (0.979, 0.910, 0.181)
W (0.579, 0.992, 0.016)
W (0.962, 0.378, 0.244)
Se (0.580, 0.591, 0.326)
Se (0.580, 0.084, 0.326)
Se (0.297, 0.777, 0.921)
Se (0.297, 0.302, 0.921)
Se (0.949, 0.190, 0.620)

Calculated values
- M_tot (μB/f.u.) = 0.00
- formation energy from raw total energies (eV/atom) = 0.10

***

[4]
Compound: IrW5Se12
Source: Alexandria
Functional: PBE-GGA
Structure: optimized geometry

abc: 5.768 6.070 13.731
angles: 90.08 90.16 61.64
Sites, in units of the cell vectors:
Ir (0.000, 0.000, 0.000)
W (0.500, 0.000, 0.500)
W (0.128, 0.743, 0.500)
W (0.872, 0.257, 0.500)
W (0.628, 0.744, 0.000)
W (0.372, 0.256, 0.000)
Se (0.826, 0.000, 0.366)
Se (0.174, 0.000, 0.634)
Se (0.680, 0.000, 0.867)
Se (0.320, 0.000, 0.133)
Se (0.335, 0.643, 0.895)
Se (0.022, 0.643, 0.105)
Se (0.978, 0.357, 0.895)
Se (0.665, 0.357, 0.105)
Se (0.486, 0.351, 0.610)
Se (0.838, 0.649, 0.610)
Se (0.162, 0.351, 0.390)
Se (0.514, 0.649, 0.390)

Calculated values
- M_tot (μB/f.u.) = 0.60
- formation energy from raw total energies (eV/atom) = -0.35

***

[5]
Compound: IrWSe2
Source: Alexandria
Functional: PBE-GGA
Structure: optimized geometry

abc: 4.108 2.807 6.484
angles: 111.87 90.00 90.00
Sites, in units of the cell vectors:
Ir (0.500, 0.750, 0.750)
Se (0.000, 0.809, 0.001)
Se (0.000, 0.691, 0.499)
W (0.500, 0.250, 0.250)

Calculated values
- M_tot (μB/f.u.) = 0.00
- polymorph energy (0 for the lowest one) (eV/atom) = 0.643
- formation energy from raw total energies (eV/atom) = 0.68

***

[6]
Compound: IrW2Se
Source: Alexandria
Functional: PBE-GGA
Structure: optimized geometry

abc: 4.972 4.972 2.866
angles: 90.00 90.00 115.69
Sites, in units of the cell vectors:
Ir (0.500, 0.000, 0.500)
Se (0.000, 0.500, 0.500)
W (0.000, 0.000, 0.000)
W (0.500, 0.500, 0.000)

Calculated values
- M_tot (μB/f.u.) = 0.00
- polymorph energy (0 for the lowest one) (eV/atom) = 0.349
- formation energy from raw total energies (eV/atom) = 0.51

***

[7]
Compound: IrWSe2
Source: Alexandria
Functional: PBE-GGA
Structure: optimized geometry

abc: 5.787 5.787 5.787
angles: 150.34 134.59 55.18
Sites, in units of the cell vectors:
Ir (0.265, 0.765, 0.500)
Se (0.024, 0.024, 0.000)
Se (0.726, 0.226, 0.500)
W (0.485, 0.485, 0.000)

Calculated values
- M_tot (μB/f.u.) = 0.00
- polymorph energy (0 for the lowest one) (eV/atom) = 0.445
- formation energy from raw total energies (eV/atom) = 0.48

***

[8]
Compound: IrWSe2
Source: Alexandria
Functional: PBE-GGA
Structure: optimized geometry

abc: 2.951 2.951 8.844
angles: 90.00 90.00 90.00
Sites, in units of the cell vectors:
Ir (0.500, 0.500, 0.718)
Se (0.000, 0.000, 0.932)
Se (0.500, 0.500, 0.334)
W (0.000, 0.000, 0.515)

Calculated values
- M_tot (μB/f.u.) = 0.00
- polymorph energy (0 for the lowest one) (eV/atom) = 0.000
- formation energy from raw total energies (eV/atom) = 0.03

***

[9]
Compound: IrW2Se
Source: Alexandria
Functional: PBE-GGA
Structure: optimized geometry

abc: 9.030 9.030 9.030
angles: 18.65 18.65 18.65
Sites, in units of the cell vectors:
Ir (0.496, 0.496, 0.496)
Se (0.257, 0.257, 0.257)
W (0.995, 0.995, 0.995)
W (0.752, 0.752, 0.752)

Calculated values
- M_tot (μB/f.u.) = 0.00
- polymorph energy (0 for the lowest one) (eV/atom) = 0.047
- formation energy from raw total energies (eV/atom) = 0.21

***

[10]
Compound: IrWSe3
Source: Alexandria
Functional: PBE-GGA
Structure: optimized geometry

abc: 4.852 4.852 4.852
angles: 90.00 90.00 90.00
Sites, in units of the cell vectors:
Ir (0.500, 0.500, 0.500)
Se (0.000, 0.500, 0.000)
Se (0.000, 0.000, 0.500)
Se (0.500, 0.000, 0.000)
W (0.000, 0.000, 0.000)

Calculated values
- M_tot (μB/f.u.) = 1.53
- polymorph energy (0 for the lowest one) (eV/atom) = 0.000
- formation energy from raw total energies (eV/atom) = 1.18

***

[11]
Compound: IrWSe
Source: Alexandria
Functional: PBE-GGA
Structure: optimized geometry

abc: 2.963 2.963 6.449
angles: 90.00 90.00 120.00
Sites, in units of the cell vectors:
Ir (0.000, 0.000, 0.981)
Se (0.667, 0.333, 0.361)
W (0.333, 0.667, 0.658)

Calculated values
- M_tot (μB/f.u.) = 0.00
- polymorph energy (0 for the lowest one) (eV/atom) = 0.078
- formation energy from raw total energies (eV/atom) = 0.18

***

[12]
Compound: IrWSe
Source: Alexandria
Functional: PBE-GGA
Structure: optimized geometry

abc: 2.998 3.001 12.918
angles: 90.00 90.00 119.97
Sites, in units of the cell vectors:
W (0.467, 0.934, 0.000)
W (0.423, 0.846, 0.500)
Se (0.755, 0.510, 0.357)
Se (0.755, 0.510, 0.643)
Ir (0.133, 0.266, 0.843)
Ir (0.133, 0.266, 0.157)

Calculated values
- M_tot (μB/f.u.) = 0.00
- polymorph energy (0 for the lowest one) (eV/atom) = 0.000
- formation energy from raw total energies (eV/atom) = 0.10

***

[13]
Compound: IrW2Se
Source: Alexandria
Functional: PBE-GGA
Structure: optimized geometry

abc: 5.748 5.748 6.849
angles: 65.19 65.19 90.00
Sites, in units of the cell vectors:
Ir (0.000, 0.000, 0.000)
Ir (0.750, 0.250, 0.500)
Se (0.500, 0.500, 0.000)
Se (0.250, 0.750, 0.500)
W (0.634, 0.125, 0.250)
W (0.116, 0.625, 0.250)
W (0.375, 0.366, 0.750)
W (0.875, 0.884, 0.750)

Calculated values
- M_tot (μB/f.u.) = 0.00
- polymorph energy (0 for the lowest one) (eV/atom) = 0.708
- formation energy from raw total energies (eV/atom) = 0.87

***

[14]
Compound: IrWSe2
Source: Alexandria
Functional: PBE-GGA
Structure: optimized geometry

abc: 4.955 4.955 6.485
angles: 84.54 84.54 39.04
Sites, in units of the cell vectors:
Ir (0.817, 0.817, 0.609)
Se (0.968, 0.968, 0.902)
Se (0.190, 0.190, 0.374)
W (0.525, 0.525, 0.615)

Calculated values
- M_tot (μB/f.u.) = 0.00
- polymorph energy (0 for the lowest one) (eV/atom) = 0.074
- formation energy from raw total energies (eV/atom) = 0.11

***

[15]
Compound: IrW4Se
Source: Alexandria
Functional: PBE-GGA
Structure: optimized geometry

abc: 5.272 5.272 5.272
angles: 60.00 60.00 60.00
Sites, in units of the cell vectors:
Ir (0.750, 0.750, 0.750)
W (0.877, 0.374, 0.374)
W (0.374, 0.374, 0.877)
W (0.374, 0.877, 0.374)
W (0.374, 0.374, 0.374)
Se (0.000, 0.000, 0.000)

Calculated values
- M_tot (μB/f.u.) = 0.00
- formation energy from raw total energies (eV/atom) = 0.85

***

[16]
Compound: Ir2W2Se
Source: Alexandria
Functional: PBE-GGA
Structure: optimized geometry

abc: 3.918 3.918 6.613
angles: 72.77 72.77 90.00
Sites, in units of the cell vectors:
Ir (0.391, 0.391, 0.218)
Ir (0.609, 0.609, 0.782)
Se (0.000, 0.000, 0.000)
W (0.750, 0.250, 0.500)
W (0.250, 0.750, 0.500)

Calculated values
- M_tot (μB/f.u.) = 0.00
- polymorph energy (0 for the lowest one) (eV/atom) = 0.337
- formation energy from raw total energies (eV/atom) = 0.49

***

[17]
Compound: IrW2Se
Source: Alexandria
Functional: PBE-GGA
Structure: optimized geometry

abc: 8.766 8.766 8.766
angles: 19.04 19.04 19.04
Sites, in units of the cell vectors:
Ir (0.750, 0.750, 0.750)
Se (0.250, 0.250, 0.250)
W (0.998, 0.998, 0.998)
W (0.502, 0.502, 0.502)

Calculated values
- M_tot (μB/f.u.) = 0.00
- polymorph energy (0 for the lowest one) (eV/atom) = 0.064
- formation energy from raw total energies (eV/atom) = 0.23

***

[18]
Compound: IrW2Se
Source: Alexandria
Functional: PBE-GGA
Structure: optimized geometry

abc: 2.899 4.078 5.425
angles: 90.00 90.00 90.00
Sites, in units of the cell vectors:
Ir (0.500, 0.500, 0.250)
Se (0.500, 0.500, 0.750)
W (0.000, 0.000, 0.010)
W (0.000, 0.000, 0.490)

Calculated values
- M_tot (μB/f.u.) = 0.00
- polymorph energy (0 for the lowest one) (eV/atom) = 0.303
- formation energy from raw total energies (eV/atom) = 0.47

***

[19]
Compound: IrWSe2
Source: Alexandria
Functional: PBE-GGA
Structure: optimized geometry

abc: 3.123 3.853 6.736
angles: 90.00 90.00 90.00
Sites, in units of the cell vectors:
Ir (0.500, 0.500, 0.719)
Se (0.000, 0.000, 0.892)
Se (0.500, 0.500, 0.356)
W (0.000, 0.000, 0.533)

Calculated values
- M_tot (μB/f.u.) = 0.00
- polymorph energy (0 for the lowest one) (eV/atom) = 0.126
- formation energy from raw total energies (eV/atom) = 0.16

***

[20]
Compound: IrWSe2
Source: Alexandria
Functional: PBE-GGA
Structure: optimized geometry

abc: 6.963 6.963 4.586
angles: 85.07 85.07 24.81
Sites, in units of the cell vectors:
Ir (0.750, 0.750, 0.750)
Se (0.894, 0.894, 0.044)
Se (0.606, 0.606, 0.456)
W (0.250, 0.250, 0.250)

Calculated values
- M_tot (μB/f.u.) = 0.00
- polymorph energy (0 for the lowest one) (eV/atom) = 0.080
- formation energy from raw total energies (eV/atom) = 0.11